[1]
Density functional theory data (PBE) for a geometry-optimized TaCuIr2 structure.

Cell lengths 6.8973, 6.8973, 5.5661 Å; angles 90.00, 90.00, 90.00 degrees
Closest atoms and distances in Å follow each position.
Space group I-42d (No. 122)
Symmetry-distinct sites (fractional):
Ta1 0.0000 0.0000 0.0000 x4  4 Ir 2.50, 2 Cu 2.78
Cu1 0.0000 0.0000 0.5000 x4  4 Ir 2.57, 2 Ta 2.78
Ir1 0.2423 0.2500 0.1250 x8  2 Ta 2.50, 2 Cu 2.57, 2 Ir 2.79

Properties
* density: 15.8 g/cm3
* magnetization: 0.0000 μB per atom
* DOS at the Fermi energy: 0.5 states/eV/f.u.
* relative energy among the computed polymorphs: 640 meV per atom
* formation enthalpy at 0 K: 197 meV/atom

=====

[2]
Density functional theory data (PBE) for a geometry-optimized TaCuIr2 structure.

Cell lengths 2.8013, 2.8013, 26.4846 Å; angles 90.00, 90.00, 120.00 degrees
Closest atoms and distances in Å follow each position.
Space group R-3m (No. 166, hexagonal axes)
Symmetry-distinct sites (fractional):
Ta1 0.0000 0.0000 0.0000 x3  6 Ir 2.77, 6 Ta 2.80
Cu1 0.0000 0.0000 0.5000 x3  6 Ir 2.70, 6 Cu 2.80
Ir1 0.0000 0.0000 0.2482 x6  3 Cu 2.70, 3 Ta 2.77, 6 Ir 2.80

Properties
* density: 17.4 g/cm3
* magnetization: 0.0002 μB per atom
* DOS at the Fermi energy: 4.3 states/eV/f.u.
* relative energy among the computed polymorphs: 313 meV per atom
* formation enthalpy at 0 K: -130 meV/atom

=====

[3]
Density functional theory data (PBE) for a geometry-optimized Ta2CuIr2 structure.

Cell lengths 7.7543, 7.7543, 2.8586 Å; angles 90.00, 90.00, 90.00 degrees
Closest atoms and distances in Å follow each position.
Space group P4/mbm (No. 127)
Symmetry-distinct sites (fractional):
Ta1 0.1551 0.3449 0.0000 x4  6 Ir 2.68-2.69, 2 Ta 2.86, 2 Cu 2.93
Cu1 0.0000 0.0000 0.0000 x2  2 Cu 2.86, 4 Ta 2.93
Ir1 0.1385 0.6385 0.5000 x4  6 Ta 2.68-2.69, 2 Ir 2.86

Properties
* density: 15.6 g/cm3
* magnetization: 0.0000 μB per atom
* DOS at the Fermi energy: 3.0 states/eV/f.u.
* relative energy among the computed polymorphs: 136 meV per atom
* formation enthalpy at 0 K: -147 meV/atom

=====

[4]
Density functional theory data (PBE) for a geometry-optimized TaCuIr2 structure.

Cell lengths 8.8842, 2.8013, 4.8392 Å; angles 90.00, 99.49, 90.00 degrees
Closest atoms and distances in Å follow each position.
Space group C2/m (No. 12)
Symmetry-distinct sites (fractional):
Ta1 0.0000 0.0000 0.0000 x2  6 Ir 2.73-2.76, 4 Cu 2.80, 2 Ta 2.80
Cu1 0.0000 0.5000 0.5000 x2  6 Ir 2.67-2.71, 4 Ta 2.80, 2 Cu 2.80
Ir1 0.2496 0.0000 0.7376 x4  3 Cu 2.67-2.71, 6 Ir 2.69-2.90, 3 Ta 2.73-2.76

Properties
* density: 17.6 g/cm3
* magnetization: 0.0000 μB per atom
* DOS at the Fermi energy: 3.2 states/eV/f.u.
* relative energy among the computed polymorphs: 202 meV per atom
* formation enthalpy at 0 K: -242 meV/atom